{"formula": "BaCu2GeI", "functional": "PBE", "state": "optimized geometry", "crystal_system": "tetragonal", "spacegroup": "No. 123", "raw_formation_energy_kj_per_mol_atoms": -23, "final_energy_ev_per_atom": -3.495, "m_tot_mub_per_atom": 0.0000, "dos_at_fermi_per_ev_cell": 2.22, "lattice_angstrom": [[-2.0357, 0.9729, 4.2114], [3.9807, -4.3588, 2.9312], [3.2179, 3.4491, 0.7587]], "species": ["I", "Ge", "Ba", "Cu", "Cu"], "fractional_positions": [[0.5000, 0.5000, 0.5000], [0.0000, 0.0000, 0.0000], [0.0000, 0.5000, 0.0000], [0.0000, 0.0000, 0.5000], [0.5000, 0.0000, 0.0000]]}

{"formula": "K2GePt", "functional": "PBE", "state": "optimized geometry", "crystal_system": "tetragonal", "spacegroup": "No. 122", "final_energy_ev_per_atom": -3.438, "m_tot_mub_per_atom": 0.0000, "dos_at_fermi_per_ev_cell": 4.16, "delta_e_f_mev_per_atom": -225, "lattice_angstrom": [[-3.5779, 5.8110, 10.5151], [-11.8909, -0.1466, -3.9651], [-8.0556, 0.7526, 4.3150]], "species": ["Ge", "Ge", "K", "K", "K", "K", "Pt", "Pt"], "fractional_positions": [[0.5000, 0.5000, 0.0000], [0.2500, 0.7500, 0.5000], [0.8414, 0.1250, 0.2500], [0.9086, 0.6250, 0.2500], [0.3750, 0.1586, 0.7500], [0.8750, 0.0914, 0.7500], [0.0000, 0.0000, 0.0000], [0.7500, 0.2500, 0.5000]]}

{"formula": "Rb2TlGeF8", "functional": "PBE", "state": "optimized geometry", "crystal_system": "trigonal", "spacegroup": "No. 164", "raw_formation_energy_kj_per_mol_atoms": -219, "final_energy_ev_per_atom": -4.257, "m_tot_mub_per_atom": 0.0836, "dos_at_fermi_per_ev_cell": 10.54, "lattice_angstrom": [[5.8718, 0.0000, 0.0000], [-2.9359, 5.0851, 0.0000], [0.0000, 0.0000, 7.8464]], "species": ["Rb", "Rb", "Tl", "Ge", "F", "F", "F", "F", "F", "F", "F", "F"], "fractional_positions": [[0.6667, 0.3333, 0.1645], [0.3333, 0.6667, 0.8355], [0.0000, 0.0000, 0.5000], [0.0000, 0.0000, 0.0000], [0.8538, 0.7076, 0.8632], [0.2924, 0.1462, 0.8632], [0.8538, 0.1462, 0.8632], [0.1462, 0.2924, 0.1368], [0.7076, 0.8538, 0.1368], [0.1462, 0.8538, 0.1368], [0.6667, 0.3333, 0.5113], [0.3333, 0.6667, 0.4887]]}

{"formula": "Te4C3", "functional": "PBE", "state": "optimized geometry", "crystal_system": "tetragonal", "spacegroup": "No. 139", "raw_formation_energy_kj_per_mol_atoms": 167, "final_energy_ev_per_atom": -4.017, "m_tot_mub_per_atom": 0.0000, "dos_at_fermi_per_ev_cell": 3.08, "de_polymorph_ev_per_atom": 0.241, "lattice_angstrom": [[4.4937, 0.5301, 11.5554], [0.3120, -1.6918, 12.2900], [-1.3326, -1.5389, -12.2417]], "species": ["Te", "Te", "Te", "Te", "C", "C", "C"], "fractional_positions": [[0.1969, 0.1969, 0.0000], [0.8031, 0.8031, 0.0000], [0.4423, 0.4423, 0.0000], [0.5577, 0.5577, 0.0000], [0.0000, 0.0000, 0.0000], [0.2866, 0.2866, 0.0000], [0.7134, 0.7134, 0.0000]]}

{"formula": "Nd2HoTm2", "functional": "PBE", "state": "optimized geometry", "crystal_system": "monoclinic", "spacegroup": "No. 15", "final_energy_ev_per_atom": -4.322, "m_tot_mub_per_atom": 0.0005, "dos_at_fermi_per_ev_cell": 13.53, "de_polymorph_ev_per_atom": 0.258, "delta_e_f_mev_per_atom": 289, "lattice_angstrom": [[8.9669, 0.5286, 0.5499], [-1.3456, 8.8811, 0.5499], [-2.9228, -3.6087, 3.8708]], "species": ["Nd", "Nd", "Nd", "Nd", "Ho", "Ho", "Tm", "Tm", "Tm", "Tm"], "fractional_positions": [[0.7625, 0.6063, 0.5010], [0.3937, 0.2375, 0.9990], [0.6063, 0.7625, 0.0010], [0.2375, 0.3937, 0.4990], [0.0628, 0.9372, 0.2500], [0.9372, 0.0628, 0.7500], [0.3291, 0.6709, 0.2500], [0.8056, 0.1944, 0.2500], [0.1944, 0.8056, 0.7500], [0.6709, 0.3291, 0.7500]]}

{"formula": "CdBSe2N", "functional": "PBE", "state": "optimized geometry", "crystal_system": "tetragonal", "spacegroup": "No. 123", "raw_formation_energy_kj_per_mol_atoms": 188, "final_energy_ev_per_atom": -2.624, "m_tot_mub_per_atom": 0.5710, "dos_at_fermi_per_ev_cell": 4.95, "de_polymorph_ev_per_atom": 1.897, "lattice_angstrom": [[5.3517, 0.0000, 0.0000], [0.0000, 5.3517, 0.0000], [0.0000, 0.0000, 4.1963]], "species": ["B", "N", "Se", "Se", "Cd"], "fractional_positions": [[0.5000, 0.5000, 0.5000], [0.0000, 0.0000, 0.5000], [0.0000, 0.5000, 0.0000], [0.5000, 0.0000, 0.0000], [0.0000, 0.0000, 0.0000]]}